# Sc4Cu3Tc, optimized geometry, DFT PBE-GGA
data_Sc4Cu3Tc
_chemical_formula_sum 'Sc4 Cu3 Tc1'
_cell_length_a 3.2721
_cell_length_b 3.2721
_cell_length_c 12.9281
_cell_angle_alpha 90.00
_cell_angle_beta 90.00
_cell_angle_gamma 90.00
_symmetry_space_group_name_H-M 'P 4/m m m'
_symmetry_Int_Tables_number 123
_symmetry_space_group_name_Hall '-P 4 2'
loop_
_atom_site_label
_atom_site_type_symbol
_atom_site_fract_x
_atom_site_fract_y
_atom_site_fract_z
Sc1 Sc 0.0000 0.0000 0.1191
Sc2 Sc 0.0000 0.0000 0.3739
Cu1 Cu 0.5000 0.5000 0.2502
Cu2 Cu 0.5000 0.5000 0.5000
Tc1 Tc 0.5000 0.5000 0.0000
# energy of formation from the pure elements	-6.17	kcal/mol of atoms
# E	-0.230	hartree per atom

# ScCuTc2, optimized geometry, DFT PBE-GGA
data_ScCuTc2
_chemical_formula_sum 'Sc2 Cu2 Tc4'
_cell_length_a 3.3112
_cell_length_b 4.2604
_cell_length_c 8.6239
_cell_angle_alpha 90.00
_cell_angle_beta 90.00
_cell_angle_gamma 90.00
_symmetry_space_group_name_H-M 'C m m m'
_symmetry_Int_Tables_number 65
_symmetry_space_group_name_Hall '-C 2 2'
loop_
_atom_site_label
_atom_site_type_symbol
_atom_site_fract_x
_atom_site_fract_y
_atom_site_fract_z
Sc1 Sc 0.0000 0.0000 0.0000
Cu1 Cu 0.0000 0.0000 0.5000
Tc1 Tc 0.0000 0.5000 0.2659
# energy relative to the lowest polymorph listed for this composition	6.54	kcal/mol of atoms
# energy of formation from the pure elements	4.37	kcal/mol of atoms
# E	-0.279	hartree per atom

# ScCuTc2, optimized geometry, DFT PBE-GGA
data_ScCuTc2
_chemical_formula_sum 'Sc3 Cu3 Tc6'
_cell_length_a 2.8321
_cell_length_b 2.8321
_cell_length_c 26.9946
_cell_angle_alpha 90.00
_cell_angle_beta 90.00
_cell_angle_gamma 120.00
_symmetry_space_group_name_H-M 'R 3 m'
_symmetry_Int_Tables_number 160
_symmetry_space_group_name_Hall 'R 3 -2"'
loop_
_atom_site_label
_atom_site_type_symbol
_atom_site_fract_x
_atom_site_fract_y
_atom_site_fract_z
Sc1 Sc 0.0000 0.0000 0.0000
Cu1 Cu 0.0000 0.0000 0.2480
Tc1 Tc 0.0000 0.0000 0.4995
Tc2 Tc 0.0000 0.0000 0.7567
# energy relative to the lowest polymorph listed for this composition	6.03	kcal/mol of atoms
# energy of formation from the pure elements	3.86	kcal/mol of atoms
# E	-0.280	hartree per atom

# ScCuTc, optimized geometry, DFT PBE-GGA
data_ScCuTc
_chemical_formula_sum 'Sc4 Cu4 Tc4'
_cell_length_a 5.9927
_cell_length_b 5.9927
_cell_length_c 5.9927
_cell_angle_alpha 90.00
_cell_angle_beta 90.00
_cell_angle_gamma 90.00
_symmetry_space_group_name_H-M 'F -4 3 m'
_symmetry_Int_Tables_number 216
_symmetry_space_group_name_Hall 'F -4 2 3'
loop_
_atom_site_label
_atom_site_type_symbol
_atom_site_fract_x
_atom_site_fract_y
_atom_site_fract_z
Sc1 Sc 0.0000 0.0000 0.0000
Cu1 Cu 0.2500 0.2500 0.7500
Tc1 Tc 0.0000 0.0000 0.5000
# energy relative to the lowest polymorph listed for this composition	15.52	kcal/mol of atoms
# energy of formation from the pure elements	10.04	kcal/mol of atoms
# E	-0.239	hartree per atom

# ScCuTc2, optimized geometry, DFT PBE-GGA
data_ScCuTc2
_chemical_formula_sum 'Sc3 Cu3 Tc6'
_cell_length_a 2.8170
_cell_length_b 2.8170
_cell_length_c 27.1166
_cell_angle_alpha 90.00
_cell_angle_beta 90.00
_cell_angle_gamma 120.00
_symmetry_space_group_name_H-M 'R -3 m'
_symmetry_Int_Tables_number 166
_symmetry_space_group_name_Hall '-R 3 2"'
loop_
_atom_site_label
_atom_site_type_symbol
_atom_site_fract_x
_atom_site_fract_y
_atom_site_fract_z
Sc1 Sc 0.0000 0.0000 0.0000
Cu1 Cu 0.0000 0.0000 0.5000
Tc1 Tc 0.0000 0.0000 0.2451
# energy relative to the lowest polymorph listed for this composition	9.98	kcal/mol of atoms
# energy of formation from the pure elements	7.81	kcal/mol of atoms
# E	-0.274	hartree per atom

# ScCuTc2, optimized geometry, DFT PBE-GGA
data_ScCuTc2
_chemical_formula_sum 'Sc2 Cu2 Tc4'
_cell_length_a 9.9404
_cell_length_b 3.2526
_cell_length_c 4.2204
_cell_angle_alpha 90.00
_cell_angle_beta 114.98
_cell_angle_gamma 90.00
_symmetry_space_group_name_H-M 'C 1 2/m 1'
_symmetry_Int_Tables_number 12
loop_
_symmetry_equiv_pos_as_xyz
'x,y,z'
'-x,-y,-z'
'-x,y,-z'
'x,-y,z'
'x+1/2,y+1/2,z'
'-x+1/2,-y+1/2,-z'
'-x+1/2,y+1/2,-z'
'x+1/2,-y+1/2,z'
loop_
_atom_site_label
_atom_site_type_symbol
_atom_site_fract_x
_atom_site_fract_y
_atom_site_fract_z
Sc1 Sc 0.0000 0.0000 0.0000
Cu1 Cu 0.0000 0.5000 0.5000
Tc1 Tc 0.2446 0.0000 0.7440
# energy relative to the lowest polymorph listed for this composition	3.85	kcal/mol of atoms
# energy of formation from the pure elements	1.68	kcal/mol of atoms
# E	-0.284	hartree per atom

# ScCuTc, optimized geometry, DFT PBE-GGA
data_ScCuTc
_chemical_formula_sum 'Sc2 Cu2 Tc2'
_cell_length_a 3.2649
_cell_length_b 3.2649
_cell_length_c 8.9587
_cell_angle_alpha 90.00
_cell_angle_beta 90.00
_cell_angle_gamma 90.00
_symmetry_space_group_name_H-M 'I 4 m m'
_symmetry_Int_Tables_number 107
_symmetry_space_group_name_Hall 'I 4 -2'
loop_
_atom_site_label
_atom_site_type_symbol
_atom_site_fract_x
_atom_site_fract_y
_atom_site_fract_z
Sc1 Sc 0.0000 0.0000 0.0000
Cu1 Cu 0.0000 0.0000 0.3162
Tc1 Tc 0.0000 0.0000 0.6845
# energy relative to the lowest polymorph listed for this composition	6.71	kcal/mol of atoms
# energy of formation from the pure elements	1.23	kcal/mol of atoms
# E	-0.253	hartree per atom

# ScTiCuTc, optimized geometry, DFT PBE-GGA
data_ScTiCuTc
_chemical_formula_sum 'Sc4 Ti4 Cu4 Tc4'
_cell_length_a 6.3265
_cell_length_b 6.3265
_cell_length_c 6.3265
_cell_angle_alpha 90.00
_cell_angle_beta 90.00
_cell_angle_gamma 90.00
_symmetry_space_group_name_H-M 'F -4 3 m'
_symmetry_Int_Tables_number 216
_symmetry_space_group_name_Hall 'F -4 2 3'
loop_
_atom_site_label
_atom_site_type_symbol
_atom_site_fract_x
_atom_site_fract_y
_atom_site_fract_z
Sc1 Sc 0.0000 0.0000 0.0000
Ti1 Ti 0.0000 0.0000 0.5000
Cu1 Cu 0.2500 0.2500 0.2500
Tc1 Tc 0.2500 0.2500 0.7500
# energy of formation from the pure elements	-6.08	kcal/mol of atoms
# E	-0.273	hartree per atom

# Tm3Sc3CuTc2, optimized geometry, DFT PBE-GGA
data_Tm3Sc3CuTc2
_chemical_formula_sum 'Tm3 Sc3 Cu1 Tc2'
_cell_length_a 7.8600
_cell_length_b 7.8600
_cell_length_c 3.5798
_cell_angle_alpha 90.00
_cell_angle_beta 90.00
_cell_angle_gamma 120.00
_symmetry_space_group_name_H-M 'P -6 2 m'
_symmetry_Int_Tables_number 189
_symmetry_space_group_name_Hall 'P -6 -2'
loop_
_atom_site_label
_atom_site_type_symbol
_atom_site_fract_x
_atom_site_fract_y
_atom_site_fract_z
Tm1 Tm 0.0000 0.7291 0.0000
Sc1 Sc 0.0000 0.4015 0.5000
Cu1 Cu 0.0000 0.0000 0.5000
Tc1 Tc 0.3333 0.6667 0.0000
# energy of formation from the pure elements	-1.78	kcal/mol of atoms
# E	-0.237	hartree per atom

# ScZnCuTc, optimized geometry, DFT PBE-GGA
data_ScZnCuTc
_chemical_formula_sum 'Sc4 Zn4 Cu4 Tc4'
_cell_length_a 6.2679
_cell_length_b 6.2679
_cell_length_c 6.2679
_cell_angle_alpha 90.00
_cell_angle_beta 90.00
_cell_angle_gamma 90.00
_symmetry_space_group_name_H-M 'F -4 3 m'
_symmetry_Int_Tables_number 216
_symmetry_space_group_name_Hall 'F -4 2 3'
loop_
_atom_site_label
_atom_site_type_symbol
_atom_site_fract_x
_atom_site_fract_y
_atom_site_fract_z
Sc1 Sc 0.0000 0.0000 0.0000
Zn1 Zn 0.2500 0.2500 0.7500
Cu1 Cu 0.2500 0.2500 0.2500
Tc1 Tc 0.0000 0.0000 0.5000
# energy of formation from the pure elements	-0.39	kcal/mol of atoms
# E	-0.203	hartree per atom

# Sc4ZnCu2Tc, optimized geometry, DFT PBE-GGA
data_Sc4ZnCu2Tc
_chemical_formula_sum 'Sc12 Zn3 Cu6 Tc3'
_cell_length_a 4.6427
_cell_length_b 4.6427
_cell_length_c 22.7224
_cell_angle_alpha 90.00
_cell_angle_beta 90.00
_cell_angle_gamma 120.00
_symmetry_space_group_name_H-M 'R -3 m'
_symmetry_Int_Tables_number 166
_symmetry_space_group_name_Hall '-R 3 2"'
loop_
_atom_site_label
_atom_site_type_symbol
_atom_site_fract_x
_atom_site_fract_y
_atom_site_fract_z
Sc1 Sc 0.0000 0.0000 0.1204
Sc2 Sc 0.0000 0.0000 0.3712
Zn1 Zn 0.0000 0.0000 0.5000
Cu1 Cu 0.0000 0.0000 0.2499
Tc1 Tc 0.0000 0.0000 0.0000
# energy of formation from the pure elements	-6.89	kcal/mol of atoms
# E	-0.218	hartree per atom

# ZrScCuTc, optimized geometry, DFT PBE-GGA
data_ZrScCuTc
_chemical_formula_sum 'Zr4 Sc4 Cu4 Tc4'
_cell_length_a 6.5354
_cell_length_b 6.5354
_cell_length_c 6.5354
_cell_angle_alpha 90.00
_cell_angle_beta 90.00
_cell_angle_gamma 90.00
_symmetry_space_group_name_H-M 'F -4 3 m'
_symmetry_Int_Tables_number 216
_symmetry_space_group_name_Hall 'F -4 2 3'
loop_
_atom_site_label
_atom_site_type_symbol
_atom_site_fract_x
_atom_site_fract_y
_atom_site_fract_z
Zr1 Zr 0.0000 0.0000 0.0000
Sc1 Sc 0.0000 0.0000 0.5000
Cu1 Cu 0.2500 0.2500 0.2500
Tc1 Tc 0.2500 0.2500 0.7500
# energy relative to the lowest polymorph listed for this composition	0.61	kcal/mol of atoms
# energy of formation from the pure elements	-6.29	kcal/mol of atoms
# E	-0.280	hartree per atom

# Zr2ScCuTc, optimized geometry, DFT PBE-GGA
data_Zr2ScCuTc
_chemical_formula_sum 'Zr2 Sc1 Cu1 Tc1'
_cell_length_a 4.9918
_cell_length_b 4.9918
_cell_length_c 4.9883
_cell_angle_alpha 90.00
_cell_angle_beta 90.00
_cell_angle_gamma 90.00
_symmetry_space_group_name_H-M 'P 4/m m m'
_symmetry_Int_Tables_number 123
_symmetry_space_group_name_Hall '-P 4 2'
loop_
_atom_site_label
_atom_site_type_symbol
_atom_site_fract_x
_atom_site_fract_y
_atom_site_fract_z
Zr1 Zr 0.0000 0.5000 0.0000
Sc1 Sc 0.0000 0.0000 0.5000
Cu1 Cu 0.5000 0.5000 0.5000
Tc1 Tc 0.0000 0.0000 0.0000
# energy of formation from the pure elements	12.89	kcal/mol of atoms
# E	-0.258	hartree per atom

# ZrScCuTc, optimized geometry, DFT PBE-GGA
data_ZrScCuTc
_chemical_formula_sum 'Zr1 Sc1 Cu1 Tc1'
_cell_length_a 3.3191
_cell_length_b 3.3191
_cell_length_c 6.3982
_cell_angle_alpha 90.00
_cell_angle_beta 90.00
_cell_angle_gamma 90.00
_symmetry_space_group_name_H-M 'P 4 m m'
_symmetry_Int_Tables_number 99
loop_
_symmetry_equiv_pos_as_xyz
'x,y,z'
'-y,x,z'
'-x,-y,z'
'y,-x,z'
'-x,y,z'
'y,x,z'
'x,-y,z'
'-y,-x,z'
loop_
_atom_site_label
_atom_site_type_symbol
_atom_site_fract_x
_atom_site_fract_y
_atom_site_fract_z
Zr1 Zr 0.0000 0.0000 0.0000
Sc1 Sc 0.0000 0.0000 0.5168
Cu1 Cu 0.5000 0.5000 0.2619
Tc1 Tc 0.5000 0.5000 0.7663
# energy relative to the lowest polymorph listed for this composition	0.00	kcal/mol of atoms
# energy of formation from the pure elements	-6.90	kcal/mol of atoms
# E	-0.281	hartree per atom